Here is crystalline Ir3CS at its relaxed geometry from the Alexandria database. Energies are from GGA-PBE.

## Properties
The magnetization comes out at 0.000 μB per atom. Its density is 14788 kg/m3. As for the uncorrected formation energy: 4.74 eV/f.u. The value obtained for the uncorrected energy is -7.04 eV/atom. As for the polymorph energy (0 for the lowest one): 0.00 eV per formula unit. As for the symmetry: Pm-3m.

The structure in POSCAR format:
```
Ir3CS
1.0
-2.6962 -0.0226 -3.1091
2.8071 -1.7872 -2.4213
-1.3369 -3.7070 1.1863
S Ir C
1 3 1
Cartesian
-0.6130 -2.7584 -2.1721
1.4036 -0.8936 -1.2106
-0.6685 -1.8535 0.5931
-1.3481 -0.0113 -1.5546
0.0000 0.0000 0.0000
```